[1]
The following is a DFT calculation (GGA-PBEsol) of crystalline YSi2Au2 at its relaxed geometry.

Structure (POSCAR):
```
YSi2Au2
1.0
-2.105 2.105 5.070
2.105 -2.105 5.070
2.105 2.105 -5.070
Y Si Au
1 2 2
Cartesian
0.000 0.000 0.000 Y
0.000 0.000 3.927 Si
0.000 0.000 6.213 Si
2.105 0.000 2.535 Au
0.000 2.105 2.535 Au
```

Results
SG: I4/mmm
M_tot: 0.0 μB per cell
E_form (uncorrected): -0.648 eV per atom

---

[2]
The following is a DFT calculation (GGA-PBEsol) of crystalline YSi2Au at its relaxed geometry.

Structure (POSCAR):
```
YSi2Au
1.0
-1.992 1.992 4.702
1.992 -1.992 4.702
1.992 1.992 -4.702
Y Si Au
1 2 1
Cartesian
0.000 0.000 0.000 Y
1.992 0.000 2.351 Si
0.000 1.992 2.351 Si
0.000 0.000 4.702 Au
```

Results
SG: I4/mmm
M_tot: 0.0 μB per cell
E_form (uncorrected): -0.236 eV per atom